# 1
Here is a geometry-optimized SrTc2Rh structure from Alexandria. Energies are from PBE.

Cell lengths 5.7211, 5.7211, 4.9368 Å; angles 73.08, 73.08, 29.03 degrees
Element x y z (fractional)
Tc1 0.4665 0.4665 0.5678
Rh1 0.7500 0.7500 0.7500
Sr1 0.2500 0.2500 0.2500
Tc2 0.0335 0.0335 0.9322

density of states at the Fermi level	5.3	states/eV per cell
magnetization	0.0	μB/cell
symmetry	No. 12
E	-6.93	eV/atom

=====

# 2
Here is a geometry-optimized EuLu2Co structure from Alexandria. Energies are from PBE.

Cell lengths 3.6934, 3.6934, 10.4111 Å; angles 79.78, 79.78, 60.00 degrees
Element x y z (fractional)
Lu1 0.1187 0.1187 0.6440
Co1 0.5000 0.5000 0.5000
Eu1 0.0000 0.0000 0.0000
Lu2 0.8813 0.8813 0.3560

density of states at the Fermi level	3.8	states/eV per cell
magnetization	7.9	μB/cell
symmetry	No. 166
E	-6.54	eV/atom

=====

# 3
Here is a geometry-optimized TbCeInPb structure from Alexandria. Energies are from PBE.

Cell lengths 5.4589, 5.4589, 5.4589 Å; angles 60.00, 60.00, 60.00 degrees
Element x y z (fractional)
Pb1 0.2500 0.2500 0.2500
Ce1 0.0000 0.0000 0.0000
Tb1 0.5000 0.5000 0.5000
In1 0.7500 0.7500 0.7500

density of states at the Fermi level	8.5	states/eV per cell
magnetization	1.2	μB/cell
symmetry	No. 216
E	-4.63	eV/atom

=====

# 4
Here is a geometry-optimized ZrInRe structure from Alexandria. Energies are from PBE.

Cell lengths 5.0522, 3.3151, 14.6376 Å; angles 90.00, 103.99, 90.00 degrees
Element x y z (fractional)
Zr1 0.2742 0.0000 0.6114
In1 0.7569 0.0000 0.0780
In2 0.2431 0.0000 0.9220
In3 0.2431 0.5000 0.4220
Zr2 0.7258 0.5000 0.8886
Re1 0.7886 0.0000 0.7438
In4 0.7569 0.5000 0.5780
Re2 0.2114 0.5000 0.7562
Re3 0.2114 0.0000 0.2562
Zr3 0.7258 0.0000 0.3886
Zr4 0.2742 0.5000 0.1114
Re4 0.7886 0.5000 0.2438

density of states at the Fermi level	7.4	states/eV per cell
magnetization	0.0	μB/cell
symmetry	No. 12
E	-7.88	eV/atom

=====

# 5
Here is a geometry-optimized SrAcAg2Pb2 structure from Alexandria. Energies are from PBE.

Cell lengths 5.0011, 5.0011, 8.3542 Å; angles 90.00, 90.00, 120.00 degrees
Element x y z (fractional)
Pb1 0.6667 0.3333 0.7614
Ag1 0.6667 0.3333 0.2612
Ag2 0.3333 0.6667 0.7388
Sr1 0.0000 0.0000 0.5000
Ac1 0.0000 0.0000 0.0000
Pb2 0.3333 0.6667 0.2386

density of states at the Fermi level	2.6	states/eV per cell
magnetization	0.0	μB/cell
symmetry	No. 164
E	-3.57	eV/atom

=====

# 6
Here is a geometry-optimized K4Zr3TiS8 structure from Alexandria. Energies are from PBE.

Cell lengths 7.4774, 8.5985, 7.4762 Å; angles 115.79, 120.01, 90.00 degrees
Element x y z (fractional)
S1 0.2607 0.3029 0.0319
Ti1 0.0000 0.5000 0.0000
S2 0.2288 0.6969 0.4575
K1 0.5000 0.0000 0.5000
K2 0.0000 0.0000 0.0000
S3 0.7393 0.6971 0.9681
S4 0.2656 0.2971 0.5313
S5 0.7344 0.7029 0.4687
S6 0.7712 0.3031 0.5425
S7 0.7712 0.3029 0.0319
Zr1 0.5000 0.5000 0.5000
Zr2 0.5000 0.5000 0.0000
K3 0.5000 0.0000 0.0000
K4 0.0000 0.0000 0.5000
S8 0.2288 0.6971 0.9681
Zr3 0.0000 0.5000 0.5000

density of states at the Fermi level	8.2	states/eV per cell
formation energy without anion corrections	-1459	meV per atom
magnetization	1.1	μB/cell
symmetry	No. 166
E	-5.89	eV/atom